[1]
# NaCu7P3, optimized geometry, DFT GGA-PBE
# electronic total energy: -4.284 eV per atom
# DOS(E_F): 3.64 states/eV/f.u.
data_NaCu7P3
_chemical_formula_sum 'Na6 Cu42 P18'
_cell_length_a 7.2436
_cell_length_b 7.2436
_cell_length_c 19.9179
_cell_angle_alpha 90.00
_cell_angle_beta 90.00
_cell_angle_gamma 120.00
_space_group_name_H-M_alt 'R -3 c'
_space_group_IT_number 167
_space_group_name_Hall '-R 3 2"c'
loop_
_atom_site_label
_atom_site_type_symbol
_atom_site_fract_x
_atom_site_fract_y
_atom_site_fract_z
_atom_site_occupancy
Na1 Na 0.0000 0.0000 0.0000 1
Cu1 Cu 0.0000 0.0000 0.2500 1
Cu2 Cu 0.0096 0.2187 0.1387 1
P1 P 0.0000 0.3318 0.2500 1

[2]
# NaTcTe2N, optimized geometry, DFT GGA-PBE
# energy above the most stable polymorph in this dataset: 0 kJ/mol of formula units
# DOS(E_F): 3.39 states/eV/f.u.
# formation energy without anion corrections: 1 kJ/mol of formula units
data_NaTcTe2N
_chemical_formula_sum 'Na1 Tc1 Te2 N1'
_cell_length_a 5.567
_cell_length_b 5.567
_cell_length_c 3.731
_cell_angle_alpha 90.00
_cell_angle_beta 90.00
_cell_angle_gamma 90.00
_space_group_name_H-M_alt 'P 4/m m m'
_space_group_IT_number 123
_space_group_name_Hall '-P 4 2'
loop_
_atom_site_label
_atom_site_type_symbol
_atom_site_fract_x
_atom_site_fract_y
_atom_site_fract_z
_atom_site_occupancy
Na1 Na 0.000 0.000 0.000 1
Tc1 Tc 0.500 0.500 0.500 1
Te1 Te 0.000 0.500 0.500 1
N1 N 0.500 0.500 0.000 1

[3]
# NaDySe2O8, optimized geometry, DFT GGA-PBE
# DOS(E_F): 0.00 states/eV/f.u.
# formation energy without anion corrections: -1720 kJ/mol of formula units
data_NaDySe2O8
_chemical_formula_sum 'Na2 Dy2 Se4 O16'
_cell_length_a 5.080
_cell_length_b 5.080
_cell_length_c 11.589
_cell_angle_alpha 90.00
_cell_angle_beta 90.00
_cell_angle_gamma 90.00
_space_group_name_H-M_alt 'I -4'
_space_group_IT_number 82
loop_
_space_group_symop_operation_xyz
'x,y,z'
'y,-x,-z'
'-x,-y,z'
'-y,x,-z'
'x+1/2,y+1/2,z+1/2'
'y+1/2,-x+1/2,-z+1/2'
'-x+1/2,-y+1/2,z+1/2'
'-y+1/2,x+1/2,-z+1/2'
loop_
_atom_site_label
_atom_site_type_symbol
_atom_site_fract_x
_atom_site_fract_y
_atom_site_fract_z
_atom_site_occupancy
Na1 Na 0.000 0.000 0.000 1
Dy1 Dy 0.000 0.500 0.750 1
Se1 Se 0.000 0.000 0.500 1
Se2 Se 0.000 0.500 0.250 1
O1 O 0.129 0.244 0.580 1
O2 O 0.143 0.745 0.176 1

[4]
# La5TlOs2, optimized geometry, DFT GGA-PBE
# electronic total energy: -6.447 eV per atom
# DOS(E_F): 8.31 states/eV/f.u.
data_La5TlOs2
_chemical_formula_sum 'La20 Tl4 Os8'
_cell_length_a 8.055
_cell_length_b 8.055
_cell_length_c 14.549
_cell_angle_alpha 90.00
_cell_angle_beta 90.00
_cell_angle_gamma 90.00
_space_group_name_H-M_alt 'I 4/m c m'
_space_group_IT_number 140
_space_group_name_Hall '-I 4 2c'
loop_
_atom_site_label
_atom_site_type_symbol
_atom_site_fract_x
_atom_site_fract_y
_atom_site_fract_z
_atom_site_occupancy
La1 La 0.000 0.000 0.000 1
La2 La 0.163 0.337 0.127 1
Tl1 Tl 0.000 0.000 0.250 1
Os1 Os 0.138 0.362 0.500 1

[5]
# LiNpSiO5, optimized geometry, DFT GGA-PBE
# DOS(E_F): 6.11 states/eV/f.u.
# formation energy without anion corrections: -2096 kJ/mol of formula units
data_LiNpSiO5
_chemical_formula_sum 'Li4 Np4 Si4 O20'
_cell_length_a 7.913
_cell_length_b 8.305
_cell_length_c 7.909
_cell_angle_alpha 90.00
_cell_angle_beta 119.24
_cell_angle_gamma 90.00
_space_group_name_H-M_alt 'C 1 2/c 1'
_space_group_IT_number 15
loop_
_space_group_symop_operation_xyz
'x,y,z'
'-x,-y,-z'
'-x,y,-z+1/2'
'x,-y,z+1/2'
'x+1/2,y+1/2,z'
'-x+1/2,-y+1/2,-z'
'-x+1/2,y+1/2,-z+1/2'
'x+1/2,-y+1/2,z+1/2'
loop_
_atom_site_label
_atom_site_type_symbol
_atom_site_fract_x
_atom_site_fract_y
_atom_site_fract_z
_atom_site_occupancy
Li1 Li 0.000 0.175 0.250 1
Np1 Np 0.000 0.500 0.000 1
Si1 Si 0.000 0.140 0.750 1
O1 O 0.000 0.411 0.250 1
O2 O 0.012 0.254 0.586 1
O3 O 0.184 0.014 0.848 1

[6]
# NdHBr4, optimized geometry, DFT GGA-PBE
# electronic total energy: -3.722 eV per atom
# DOS(E_F): 0.00 states/eV/f.u.
data_NdHBr4
_chemical_formula_sum 'Nd4 H4 Br16'
_cell_length_a 9.879
_cell_length_b 9.879
_cell_length_c 8.667
_cell_angle_alpha 90.00
_cell_angle_beta 90.00
_cell_angle_gamma 90.00
_space_group_name_H-M_alt 'I 41 m d'
_space_group_IT_number 109
_space_group_name_Hall 'I 4bw -2'
loop_
_atom_site_label
_atom_site_type_symbol
_atom_site_fract_x
_atom_site_fract_y
_atom_site_fract_z
_atom_site_occupancy
Nd1 Nd 0.000 0.000 0.000 1
H1 H 0.000 0.000 0.694 1
Br1 Br 0.000 0.173 0.726 1
Br2 Br 0.000 0.204 0.241 1

[7]
# YIn2Ge2, optimized geometry, DFT GGA-PBE
# electronic total energy: -4.285 eV per atom
# DOS(E_F): 2.29 states/eV/f.u.
data_YIn2Ge2
_chemical_formula_sum 'Y2 In4 Ge4'
_cell_length_a 8.123
_cell_length_b 8.123
_cell_length_c 3.607
_cell_angle_alpha 90.00
_cell_angle_beta 90.00
_cell_angle_gamma 90.00
_space_group_name_H-M_alt 'P 4/m b m'
_space_group_IT_number 127
_space_group_name_Hall '-P 4 2ab'
loop_
_atom_site_label
_atom_site_type_symbol
_atom_site_fract_x
_atom_site_fract_y
_atom_site_fract_z
_atom_site_occupancy
Y1 Y 0.000 0.000 0.000 1
In1 In 0.128 0.372 0.000 1
Ge1 Ge 0.171 0.671 0.500 1

[8]
# RbPbSe2Br, optimized geometry, DFT GGA-PBE
# energy above the most stable polymorph in this dataset: 428 kJ/mol of formula units
# DOS(E_F): 3.85 states/eV/f.u.
# formation energy without anion corrections: 169 kJ/mol of formula units
data_RbPbSe2Br
_chemical_formula_sum 'Rb1 Pb1 Se2 Br1'
_cell_length_a 5.697
_cell_length_b 5.697
_cell_length_c 6.009
_cell_angle_alpha 90.00
_cell_angle_beta 90.00
_cell_angle_gamma 90.00
_space_group_name_H-M_alt 'P 4/m m m'
_space_group_IT_number 123
_space_group_name_Hall '-P 4 2'
loop_
_atom_site_label
_atom_site_type_symbol
_atom_site_fract_x
_atom_site_fract_y
_atom_site_fract_z
_atom_site_occupancy
Rb1 Rb 0.000 0.000 0.000 1
Pb1 Pb 0.500 0.500 0.500 1
Se1 Se 0.000 0.500 0.000 1
Br1 Br 0.000 0.000 0.500 1

Number 1: magnetization 0.00 μB/cell. Number 2: magnetization 0.70 μB/cell. Number 3: magnetization 0.00 μB/cell. Number 4: magnetization 0.00 μB/cell. Number 5: magnetization 8.00 μB/cell. Number 6: magnetization 0.00 μB/cell. Number 7: magnetization 0.00 μB/cell. Number 8: magnetization 0.48 μB/cell.